# GGA+U HfNiN2F, optimized geometry
data_HfNiN2F
_chemical_formula_sum 'Hf1 Ni1 N2 F1'
_cell_length_a 4.1777
_cell_length_b 4.1777
_cell_length_c 4.0161
_cell_angle_alpha 90.00
_cell_angle_beta 90.00
_cell_angle_gamma 90.00
_symmetry_space_group_name_H-M 'P 4/m m m'
_symmetry_Int_Tables_number 123
_symmetry_space_group_name_Hall '-P 4 2'
loop_
_atom_site_label
_atom_site_fract_x
_atom_site_fract_y
_atom_site_fract_z
Hf1 0.0000 0.0000 0.0000
Ni1 0.5000 0.5000 0.5000
N1 0.0000 0.5000 0.0000
F1 0.0000 0.0000 0.5000
# Theoretical density, g/cm³: 6.7
# Magnetic moment, Bohr magnetons per cell: 2.20
# V, Å³ per atom: 14.02
# Offset from the most stable computed form, meV/atom: 0.0